# FeTcP4 (GGA-PBE, relaxed)
data_FeTcP4
_space_group_name_H-M_alt 'P 1'
_space_group_IT_number 1
_space_group_name_Hall 'P 1'
_cell_length_a 4.868
_cell_length_b 4.868
_cell_length_c 4.868
_cell_angle_alpha 60.00
_cell_angle_beta 60.00
_cell_angle_gamma 60.00
loop_
_atom_site_label
_atom_site_fract_x
_atom_site_fract_y
_atom_site_fract_z
Fe1 0.000 0.000 0.000
Tc1 0.750 0.750 0.750
P1 0.876 0.375 0.375
P2 0.375 0.375 0.876
P3 0.375 0.876 0.375
P4 0.375 0.375 0.375
# Magnetic moment (μB/f.u.): 2.3
# E_form (meV per atom): 782
# Mass density (g/cm³): 5.65